A plane-wave DFT calculation with SCAN was carried out for LiAl2Mo at its PBEsol-relaxed geometry.

Properties
Energy relative to the lowest polymorph listed for this composition, kJ/mol of formula units: 0
Crystal system: orthorhombic
Energy relative to the elements, kJ/mol of formula units: -75

a b c (Å): 2.844 4.555 4.555
angles (deg): 95.55 90.00 90.00
Fractional positions:
Mo 0.500 0.500 0.500
Al 0.000 0.500 0.000
Al 0.000 0.000 0.500
Li 0.500 0.000 0.000



A plane-wave DFT calculation with SCAN was carried out for KFe4Se at its PBEsol-relaxed geometry.

Properties
Crystal system: cubic
Raw formation energy, eV/atom: 0.62

a b c (Å): 5.091 5.091 5.091
angles (deg): 60.00 60.00 60.00
Each line ends with the local moment (μB).
Fractional positions:
Fe 0.867 0.378 0.378  3.04
Fe 0.378 0.378 0.378  3.04
Fe 0.378 0.378 0.867  3.04
Fe 0.378 0.867 0.378  3.04
K 0.750 0.750 0.750  -0.01
Se 0.000 0.000 0.000  0.23



A plane-wave DFT calculation with SCAN was carried out for MnTl2CuB at its PBEsol-relaxed geometry.

Properties
Crystal system: tetragonal
Energy relative to the elements, kJ/mol of formula units: 584

a b c (Å): 4.666 4.892 4.892
angles (deg): 90.00 90.00 90.00
Each line ends with the local moment (μB).
Fractional positions:
Tl 0.000 0.000 0.500  -0.02
Tl 0.000 0.500 0.000  -0.02
Mn 0.500 0.000 0.000  4.35
B 0.500 0.500 0.500  -0.16
Cu 0.000 0.000 0.000  0.05



Calculated magnetic moment, 0.0; 12.7; 4.2 μB per cell (same order as the records).
Calculated total DFT energy (no corrections), -0.492; -0.595; -1.320 hartree per atom (same order as the records).
Calculated calculated volume, 58.74; 93.31; 111.66 Å³/f.u. (same order as the records).